*i*
! AcThZr (PBE, relaxed); values from VASP
! **Total moment**: 0.00 μB/cell
! **Density of states at the Fermi level**: 4.03 states/eV/f.u.
! **Density**: 9521 kg/m³
&SYSTEM
  ibrav = 0, nat = 3, ntyp = 3
/
ATOMIC_SPECIES
Ac 227.00 Ac.upf
Th 232.04 Th.upf
Zr 91.22 Zr.upf
ATOMIC_POSITIONS angstrom
Ac 0.000 0.000 0.000
Th 0.000 0.000 10.219
Zr 0.000 0.000 4.939
CELL_PARAMETERS angstrom
-1.790 1.790 7.488
1.790 -1.790 7.488
1.790 1.790 -7.488



*ii*
! AcThZr (PBE, relaxed); values from VASP
! **Total moment**: 0.00 μB/cell
! **Density of states at the Fermi level**: 4.36 states/eV/f.u.
! **Density**: 8763 kg/m³
&SYSTEM
  ibrav = 0, nat = 6, ntyp = 3
/
ATOMIC_SPECIES
Ac 227.00 Ac.upf
Th 232.04 Th.upf
Zr 91.22 Zr.upf
ATOMIC_POSITIONS angstrom
Ac 1.215 1.215 1.303
Ac 3.644 3.644 7.530
Th 1.215 3.644 4.416
Th 3.644 1.215 4.416
Zr 1.215 1.215 6.455
Zr 3.644 3.644 2.378
CELL_PARAMETERS angstrom
4.859 0.000 0.000
0.000 4.859 0.000
0.000 0.000 8.833



*iii*
! AcThZr (PBE, relaxed); values from VASP
! **Total moment**: 0.00 μB/cell
! **Density of states at the Fermi level**: 3.79 states/eV/f.u.
! **Density**: 9565 kg/m³
&SYSTEM
  ibrav = 0, nat = 3, ntyp = 3
/
ATOMIC_SPECIES
Ac 227.00 Ac.upf
Th 232.04 Th.upf
Zr 91.22 Zr.upf
ATOMIC_POSITIONS angstrom
Ac 0.000 0.000 0.000
Th 0.000 2.067 5.540
Zr 1.790 1.034 2.925
CELL_PARAMETERS angstrom
3.581 0.000 0.000
-1.790 3.101 0.000
0.000 0.000 8.602



Stability summary - winner: *i*; margin: 0.030 eV/atom.



*i*
! AcZr2Ti (PBE, relaxed); values from VASP
! **Total moment**: 0.00 μB/cell
! **Density of states at the Fermi level**: 5.34 states/eV/f.u.
! **Density**: 7277 kg/m³
&SYSTEM
  ibrav = 0, nat = 4, ntyp = 3
/
ATOMIC_SPECIES
Ac 227.00 Ac.upf
Zr 91.22 Zr.upf
Ti 47.87 Ti.upf
ATOMIC_POSITIONS angstrom
Ac 0.000 0.000 0.000
Zr 0.000 0.000 3.299
Zr 0.000 0.000 30.465
Ti 0.000 0.000 16.882
CELL_PARAMETERS angstrom
1.636 0.945 11.255
-1.636 0.945 11.255
0.000 -1.889 11.255



*ii*
! AcZr2Ti (PBE, relaxed); values from VASP
! **Total moment**: 0.00 μB/cell
! **Density of states at the Fermi level**: 6.38 states/eV/f.u.
! **Density**: 7302 kg/m³
&SYSTEM
  ibrav = 0, nat = 4, ntyp = 3
/
ATOMIC_SPECIES
Ac 227.00 Ac.upf
Zr 91.22 Zr.upf
Ti 47.87 Ti.upf
ATOMIC_POSITIONS angstrom
Ac 0.000 0.000 0.000
Zr 1.844 1.844 2.369
Zr 1.844 1.844 5.277
Ti 0.000 0.000 3.823
CELL_PARAMETERS angstrom
3.688 0.000 0.000
0.000 3.688 0.000
0.000 0.000 7.645



Stability summary - winner: *ii*; margin: 0.205 eV/atom.



*i*
! Ac5Tl (PBE, relaxed); values from VASP
! **Total moment**: 0.00 μB/cell
! **Density of states at the Fermi level**: 7.78 states/eV/f.u.
! **Density**: 9040 kg/m³
&SYSTEM
  ibrav = 0, nat = 6, ntyp = 2
/
ATOMIC_SPECIES
Ac 227.00 Ac.upf
Tl 204.38 Tl.upf
ATOMIC_POSITIONS angstrom
Ac 0.000 0.000 0.000
Ac 2.706 5.645 2.709
Ac 2.706 2.717 0.000
Ac 2.706 -2.717 0.000
Ac 2.706 -5.645 2.709
Tl 2.706 0.000 2.709
CELL_PARAMETERS angstrom
2.706 -8.390 0.000
2.706 8.390 0.000
0.000 0.000 5.418



*ii*
! Ac5Tl (PBE, relaxed); values from VASP
! **Total moment**: 0.00 μB/cell
! **Density of states at the Fermi level**: 7.46 states/eV/f.u.
! **Density**: 8828 kg/m³
&SYSTEM
  ibrav = 0, nat = 6, ntyp = 2
/
ATOMIC_SPECIES
Ac 227.00 Ac.upf
Tl 204.38 Tl.upf
ATOMIC_POSITIONS angstrom
Ac 0.000 0.000 0.000
Ac -1.349 0.000 4.047
Ac 2.460 0.000 5.811
Ac 6.228 0.000 7.509
Ac 8.576 0.000 2.612
Tl 4.264 0.000 1.264
CELL_PARAMETERS angstrom
6.785 -2.061 0.000
6.785 2.061 0.000
-3.678 0.000 9.009



Stability summary - winner: *ii*; margin: 0.026 eV/atom.



*i*
! AcTl4 (PBE, relaxed); values from VASP
! **Total moment**: 0.00 μB/cell
! **Density of states at the Fermi level**: 8.43 states/eV/f.u.
! **Density**: 6643 kg/m³
&SYSTEM
  ibrav = 0, nat = 5, ntyp = 2
/
ATOMIC_SPECIES
Ac 227.00 Ac.upf
Tl 204.38 Tl.upf
ATOMIC_POSITIONS angstrom
Ac 0.000 0.000 0.000
Tl 0.000 0.000 3.196
Tl 0.000 3.196 0.000
Tl 3.196 0.000 0.000
Tl 3.196 3.196 3.196
CELL_PARAMETERS angstrom
6.392 0.000 0.000
0.000 6.392 0.000
0.000 0.000 6.392



*ii*
! AcTl4 (PBE, relaxed); values from VASP
! **Total moment**: 0.00 μB/cell
! **Density of states at the Fermi level**: 2.66 states/eV/f.u.
! **Density**: 11064 kg/m³
&SYSTEM
  ibrav = 0, nat = 10, ntyp = 2
/
ATOMIC_SPECIES
Ac 227.00 Ac.upf
Tl 204.38 Tl.upf
ATOMIC_POSITIONS angstrom
Ac 0.000 1.760 1.627
Ac 2.667 1.760 6.720
Tl 2.667 0.000 0.000
Tl 2.667 -1.760 6.449
Tl 2.667 -0.008 3.316
Tl 2.667 3.513 -3.316
Tl 0.000 0.000 8.347
Tl 0.000 0.008 11.663
Tl 0.000 3.528 5.031
Tl 0.000 5.281 1.898
CELL_PARAMETERS angstrom
-2.667 3.520 8.347
2.667 -3.520 8.347
2.667 3.520 -8.347



Stability summary - winner: *ii*; margin: 0.733 eV/atom.



*i*
! Ac2Tl (PBE, relaxed); values from VASP
! **Total moment**: 0.00 μB/cell
! **Density of states at the Fermi level**: 3.93 states/eV/f.u.
! **Density**: 9482 kg/m³
&SYSTEM
  ibrav = 0, nat = 12, ntyp = 2
/
ATOMIC_SPECIES
Ac 227.00 Ac.upf
Tl 204.38 Tl.upf
ATOMIC_POSITIONS angstrom
Ac 0.239 1.425 2.165
Ac 1.332 1.425 6.180
Ac 2.413 4.274 0.778
Ac 3.506 4.274 7.568
Ac 3.984 1.425 3.238
Ac 5.077 1.425 10.028
Ac 6.158 4.274 4.625
Ac 7.251 4.274 8.640
Tl 1.567 1.425 9.650
Tl 2.178 4.274 4.248
Tl 5.312 1.425 6.558
Tl 5.923 4.274 1.155
CELL_PARAMETERS angstrom
7.490 0.000 0.000
0.000 5.698 0.000
0.000 0.000 10.805



*ii*
! Ac2Tl (PBE, relaxed); values from VASP
! **Total moment**: 0.00 μB/cell
! **Density of states at the Fermi level**: 3.82 states/eV/f.u.
! **Density**: 8602 kg/m³
&SYSTEM
  ibrav = 0, nat = 6, ntyp = 2
/
ATOMIC_SPECIES
Ac 227.00 Ac.upf
Tl 204.38 Tl.upf
ATOMIC_POSITIONS angstrom
Ac 0.000 0.000 0.000
Ac 2.514 2.514 0.000
Ac 2.514 0.000 2.514
Ac 0.000 2.514 2.514
Tl 3.771 3.771 3.771
Tl 6.285 6.285 6.285
CELL_PARAMETERS angstrom
0.000 5.028 5.028
5.028 0.000 5.028
5.028 5.028 0.000



*iii*
! Ac2Tl (PBE, relaxed); values from VASP
! **Total moment**: 0.00 μB/cell
! **Density of states at the Fermi level**: 4.32 states/eV/f.u.
! **Density**: 9346 kg/m³
&SYSTEM
  ibrav = 0, nat = 3, ntyp = 2
/
ATOMIC_SPECIES
Ac 227.00 Ac.upf
Tl 204.38 Tl.upf
ATOMIC_POSITIONS angstrom
Ac 0.006 0.000 2.090
Ac 2.906 0.000 4.886
Tl 2.897 0.000 0.000
CELL_PARAMETERS angstrom
2.897 -2.894 0.000
2.897 2.894 0.000
-2.882 0.000 6.976



Stability summary - winner: *i*; margin: 0.025 eV/atom.



*i*
! Ac3Tl (PBE, relaxed); values from VASP
! **Total moment**: 0.00 μB/cell
! **Density of states at the Fermi level**: 5.72 states/eV/f.u.
! **Density**: 9118 kg/m³
&SYSTEM
  ibrav = 0, nat = 4, ntyp = 2
/
ATOMIC_SPECIES
Ac 227.00 Ac.upf
Tl 204.38 Tl.upf
ATOMIC_POSITIONS angstrom
Ac 0.000 0.000 0.000
Ac 2.027 3.545 0.504
Ac 0.000 2.725 3.675
Tl 2.027 0.000 2.908
CELL_PARAMETERS angstrom
-2.027 6.270 3.171
2.027 -6.270 3.171
2.027 6.270 -3.171



*ii*
! Ac3Tl (PBE, relaxed); values from VASP
! **Total moment**: 0.00 μB/cell
! **Density of states at the Fermi level**: 5.48 states/eV/f.u.
! **Density**: 9523 kg/m³
&SYSTEM
  ibrav = 0, nat = 4, ntyp = 2
/
ATOMIC_SPECIES
Ac 227.00 Ac.upf
Tl 204.38 Tl.upf
ATOMIC_POSITIONS angstrom
Ac 0.000 0.000 0.000
Ac 2.630 0.000 2.790
Ac 0.000 2.630 2.790
Tl 0.000 0.000 5.580
CELL_PARAMETERS angstrom
-2.630 2.630 5.580
2.630 -2.630 5.580
2.630 2.630 -5.580



*iii*
! Ac3Tl (PBE, relaxed); values from VASP
! **Total moment**: 0.00 μB/cell
! **Density of states at the Fermi level**: 7.69 states/eV/f.u.
! **Density**: 9345 kg/m³
&SYSTEM
  ibrav = 0, nat = 4, ntyp = 2
/
ATOMIC_SPECIES
Ac 227.00 Ac.upf
Tl 204.38 Tl.upf
ATOMIC_POSITIONS angstrom
Ac 0.000 0.000 0.000
Ac 2.142 2.142 2.142
Ac 6.427 6.427 6.427
Tl 4.285 4.285 4.285
CELL_PARAMETERS angstrom
0.000 4.285 4.285
4.285 0.000 4.285
4.285 4.285 0.000



Stability summary - winner: *i*; margin: 0.037 eV/atom.